*one*
Ac2Pd3Pt2, optimized geometry, DFT PBE; ρ = 12.14 Mg/m³; DOS at the Fermi energy = 1.7 states/eV/cell
1.0
3.880 0.000 0.000
0.000 3.968 -0.781
0.000 -0.025 10.344
Ac Pd Pt
2 3 2
direct
0.000 0.857 0.713 Ac
0.000 0.143 0.287 Ac
0.500 0.566 0.132 Pd
0.500 0.434 0.868 Pd
0.000 0.000 0.000 Pd
0.500 0.707 0.414 Pt
0.500 0.293 0.586 Pt

*two*
Ac2Pd3Pt2, optimized geometry, DFT PBE; ρ = 12.43 Mg/m³; DOS at the Fermi energy = 3.2 states/eV/cell
1.0
4.583 0.000 0.000
-2.292 5.306 -0.274
0.000 -1.607 6.475
Ac Pd Pt
2 3 2
direct
0.609 0.218 0.312 Ac
0.391 0.782 0.688 Ac
0.290 0.580 0.104 Pd
0.000 0.000 0.000 Pd
0.710 0.420 0.896 Pd
0.104 0.209 0.672 Pt
0.896 0.791 0.328 Pt

Top of the stability list: *two*, leading by 0.149 eV/atom.